Run P
Crystalline La5Pm2Pr2 at its relaxed geometry, computed with PBE.

a = 3.7291 Å, b = 5.2499 Å, c = 16.9271 Å
α = 98.92°, β = 96.22°, γ = 90.12°
Fractional positions:
La  0.0000  0.0000  0.0000
La  0.2212  0.2220  0.4442
La  0.4461  0.4449  0.8888
La  0.5539  0.5551  0.1112
La  0.7788  0.7780  0.5558
Pm  0.1091  0.1106  0.2228
Pm  0.8909  0.8894  0.7772
Pr  0.3362  0.3345  0.6679
Pr  0.6638  0.6655  0.3321


Run Q
Crystalline La5Pm2Pr2 at its relaxed geometry, computed with PBE.

a = 10.3162 Å, b = 10.3162 Å, c = 10.3162 Å
α = 84.99°, β = 108.68°, γ = 140.08°
Fractional positions:
La  0.2327  0.0519  0.2846
La  0.2327  0.4481  0.6808
La  0.3913  0.0195  0.0836
La  0.3913  0.8077  0.8718
La  0.4287  0.4296  0.4992
La  0.7673  0.5519  0.3192
La  0.7673  0.9481  0.7154
La  0.9304  0.9296  0.5008
La  0.9359  0.3077  0.9164
La  0.9359  0.5195  0.1282
Pm  0.8269  0.2041  0.3646
Pm  0.8269  0.9623  0.1228
Pm  0.8395  0.4623  0.6354
Pm  0.8395  0.7041  0.8772
Pr  0.3529  0.3529  0.0000
Pr  0.3529  0.8529  0.5000
Pr  0.3751  0.6293  0.2458
Pr  0.3835  0.1293  0.7542


Most stable = run P


Run P
Crystalline LaPm3Pr3 at its relaxed geometry, computed with PBE.

a = 9.8838 Å, b = 9.8838 Å, c = 5.9691 Å
α = 90.00°, β = 90.00°, γ = 120.00°
Fractional positions:
La  0.3333  0.6667  0.2500
La  0.6667  0.3333  0.7500
Pm  0.0465  0.8114  0.2500
Pm  0.1886  0.2351  0.2500
Pm  0.2351  0.0465  0.7500
Pm  0.7649  0.9535  0.2500
Pm  0.8114  0.7649  0.7500
Pm  0.9535  0.1886  0.7500
Pr  0.0948  0.6202  0.7500
Pr  0.3798  0.4746  0.7500
Pr  0.4746  0.0948  0.2500
Pr  0.5254  0.9052  0.7500
Pr  0.6202  0.5254  0.2500
Pr  0.9052  0.3798  0.2500


Run Q
Crystalline LaPm3Pr3 at its relaxed geometry, computed with PBE.

a = 12.8648 Å, b = 12.8648 Å, c = 3.7794 Å
α = 90.00°, β = 90.00°, γ = 120.00°
Fractional positions:
La  0.3333  0.6667  0.2500
La  0.6667  0.3333  0.7500
Pm  0.0868  0.3113  0.7500
Pm  0.2245  0.9132  0.7500
Pm  0.3113  0.2245  0.2500
Pm  0.6887  0.7755  0.7500
Pm  0.7755  0.0868  0.2500
Pm  0.9132  0.6887  0.2500
Pr  0.1003  0.6127  0.7500
Pr  0.3873  0.4876  0.7500
Pr  0.4876  0.1003  0.2500
Pr  0.5124  0.8997  0.7500
Pr  0.6127  0.5124  0.2500
Pr  0.8997  0.3873  0.2500


Most stable = run P